Cs2In2Cl5 | PBE | optimized geometry

Values from the calculation:
DOS(E_F), states/eV/atom: 0.163
Space group: Ima2
Calculated density, g cm⁻³: 3.24
Size of the total moment, Bohr magnetons per cell: 0.00
Energy relative to the elements, uncorrected, eV per formula unit: -12.6

The structure in POSCAR format:
```
Cs2In2Cl5
1.0
-3.5102 -1.0303 6.7637
-6.4308 -1.9617 -3.6363
8.3646 -9.7269 -1.5118
Cl Cs In
10 4 4
Direct
0.7507 0.7449 0.0016
0.7509 0.2449 0.0016
0.6130 0.6126 0.2385
0.3870 0.3741 0.7615
0.1192 0.6234 0.5000
0.1255 0.1126 0.2385
0.8745 0.8741 0.7615
0.8808 0.1234 0.5000
0.2491 0.2433 0.9984
0.2493 0.7433 0.9984
0.8940 0.3827 0.7808
0.3868 0.8827 0.7808
0.1060 0.6019 0.2192
0.6132 0.1019 0.2192
0.2282 0.2593 0.5000
0.7718 0.7593 0.5000
0.5000 0.4939 0.0000
0.0000 0.9939 0.0000
```